# LaSi2OsRu

An optimized crystal structure of LaSi2OsRu (PBE-GGA, Alexandria).

```
LaSi2OsRu
1.0
4.242 0.000 0.000
0.000 4.242 0.000
-2.121 -2.121 4.989
Ru La Si Os
1 1 2 1
Direct
0.250 0.750 0.500 Ru
0.000 0.000 0.000 La
0.637 0.637 0.274 Si
0.363 0.363 0.726 Si
0.750 0.250 0.500 Os
```

Results
DOS at the Fermi energy = 2.55 states/eV/f.u.
magnetic moment = 0.000 μB per cell
ΔE_f (raw) = -0.802 eV per atom
symmetry = I-4m2
E_tot = -8.058 eV/atom

# RbPdBr2

An optimized crystal structure of RbPdBr2 (PBE-GGA, Alexandria).

```
RbPdBr2
1.0
-0.984 1.079 5.211
-3.972 3.417 1.352
-4.500 -1.876 2.348
Pd Br Rb
1 2 1
Direct
0.500 0.500 0.500 Pd
0.750 0.750 0.750 Br
0.250 0.250 0.250 Br
0.000 0.000 0.000 Rb
```

Results
DOS at the Fermi energy = 14.39 states/eV/f.u.
magnetic moment = 1.000 μB per cell
ΔE_f (raw) = -0.428 eV per atom
symmetry = Fm-3m
E_tot = -2.805 eV/atom

# TmZr2Sc3N6

An optimized crystal structure of TmZr2Sc3N6 (PBE-GGA, Alexandria).

```
TmZr2Sc3N6
1.0
-1.274 1.767 2.415
2.561 -4.098 4.348
5.737 3.949 -2.053
Sc N Tm Zr
3 6 1 2
Direct
0.500 0.500 0.000 Sc
0.167 0.833 0.334 Sc
0.833 0.167 0.666 Sc
0.999 0.741 0.997 N
0.333 0.416 0.666 N
0.001 0.259 0.003 N
0.670 0.087 0.340 N
0.330 0.913 0.660 N
0.667 0.584 0.334 N
0.500 0.000 0.000 Tm
0.167 0.334 0.334 Zr
0.833 0.666 0.666 Zr
```

Results
DOS at the Fermi energy = 2.96 states/eV/f.u.
magnetic moment = 0.000 μB per cell
ΔE_f (raw) = -1.848 eV per atom
symmetry = C2/m
E_tot = -9.391 eV/atom

# Ti5H4

An optimized crystal structure of Ti5H4 (PBE-GGA, Alexandria).

```
Ti5H4
1.0
-2.275 -1.434 0.349
2.898 -5.079 -1.986
2.407 -2.585 5.065
H Ti
4 5
Direct
0.500 0.737 0.065 H
0.500 0.596 0.601 H
0.500 0.399 0.404 H
0.500 0.935 0.263 H
0.000 0.334 0.666 Ti
0.000 0.667 0.333 Ti
0.000 0.000 0.000 Ti
0.500 0.920 0.587 Ti
0.500 0.413 0.080 Ti
```

Results
DOS at the Fermi energy = 8.30 states/eV/f.u.
magnetic moment = 0.009 μB per cell
symmetry = Cmmm
E_tot = -5.820 eV/atom

# HoFeRh2

An optimized crystal structure of HoFeRh2 (PBE-GGA, Alexandria).

```
HoFeRh2
1.0
3.242 0.000 0.000
0.000 3.242 0.000
0.000 0.000 6.324
Ho Fe Rh
1 1 2
Direct
0.500 0.500 0.500 Ho
0.500 0.500 0.000 Fe
0.000 0.000 0.781 Rh
0.000 0.000 0.219 Rh
```

Results
DOS at the Fermi energy = 3.33 states/eV/f.u.
magnetic moment = 4.074 μB per cell
symmetry = P4/mmm
E_tot = -7.304 eV/atom
DFT formation energy = -0.37 eV/atom

# Th2Ga4Ge2Ir

An optimized crystal structure of Th2Ga4Ge2Ir (PBE-GGA, Alexandria).

```
Th2Ga4Ge2Ir
1.0
-2.210 2.209 5.570
2.481 -5.862 -0.520
5.424 2.203 -2.551
Th Ge Ga Ir
2 2 4 1
Direct
0.500 0.750 0.250 Th
0.500 0.250 0.750 Th
0.000 0.275 0.275 Ge
0.000 0.725 0.725 Ge
0.000 0.714 0.286 Ga
0.429 0.714 0.714 Ga
0.571 0.286 0.286 Ga
0.000 0.286 0.714 Ga
0.000 0.000 0.000 Ir
```

Results
DOS at the Fermi energy = 4.90 states/eV/f.u.
magnetic moment = 0.000 μB per cell
symmetry = I4/mmm
E_tot = -5.532 eV/atom
DFT formation energy = -0.53 eV/atom

# KAl2Ir

An optimized crystal structure of KAl2Ir (PBE-GGA, Alexandria).

```
KAl2Ir
1.0
5.513 0.085 0.035
1.133 5.396 -0.035
-2.502 -3.736 3.191
Al K Ir
2 1 1
Direct
0.929 0.929 0.000 Al
0.571 0.571 0.000 Al
0.250 0.750 0.500 K
0.750 0.250 0.500 Ir
```

Results
DOS at the Fermi energy = 2.16 states/eV/f.u.
magnetic moment = 0.000 μB per cell
symmetry = Immm
E_tot = -4.138 eV/atom
DFT formation energy = 0.22 eV/atom

# AcCuPt3Rh

An optimized crystal structure of AcCuPt3Rh (PBE-GGA, Alexandria).

```
AcCuPt3Rh
1.0
-3.517 -1.735 3.921
0.743 -6.272 -2.108
4.472 2.364 5.058
Pt Cu Ac Rh
6 2 2 2
Direct
0.000 0.302 0.000 Pt
0.000 0.698 0.000 Pt
0.750 0.854 0.708 Pt
0.500 0.302 0.000 Pt
0.250 0.146 0.292 Pt
0.500 0.698 0.000 Pt
0.250 0.351 0.702 Cu
0.750 0.649 0.298 Cu
0.250 0.706 0.413 Ac
0.750 0.294 0.587 Ac
0.750 0.077 0.153 Rh
0.250 0.923 0.847 Rh
```

Results
DOS at the Fermi energy = 4.66 states/eV/f.u.
magnetic moment = 0.001 μB per cell
symmetry = Cmcm
E_tot = -5.939 eV/atom
DFT formation energy = -0.33 eV/atom

# CaS6F2

An optimized crystal structure of CaS6F2 (PBE-GGA, Alexandria).

```
CaS6F2
1.0
3.737 0.179 -0.024
-0.040 7.032 -2.336
0.278 1.414 7.267
S F Ca
6 2 1
Direct
0.849 0.690 0.690 S
0.898 0.257 0.552 S
0.151 0.310 0.310 S
0.103 0.448 0.743 S
0.897 0.552 0.257 S
0.102 0.743 0.448 S
0.500 0.882 0.119 F
0.500 0.118 0.881 F
0.000 0.000 0.000 Ca
```

Results
DOS at the Fermi energy = 0.00 states/eV/f.u.
magnetic moment = 0.000 μB per cell
ΔE_f (raw) = -1.082 eV per atom
symmetry = C2/m
E_tot = -4.472 eV/atom

# V3WC

An optimized crystal structure of V3WC (PBE-GGA, Alexandria).

```
V3WC
1.0
-3.604 -2.759 0.481
2.738 -3.306 1.550
-0.588 1.512 4.266
C V W
1 3 1
Direct
0.500 0.500 0.500 C
0.500 0.000 0.000 V
0.000 0.500 0.000 V
0.000 0.000 0.500 V
0.000 0.000 0.000 W
```

Results
DOS at the Fermi energy = 8.41 states/eV/f.u.
magnetic moment = 0.218 μB per cell
symmetry = Pm-3m
E_tot = -7.297 eV/atom
DFT formation energy = 2.61 eV/atom

# Pr2SiHPd6

An optimized crystal structure of Pr2SiHPd6 (PBE-GGA, Alexandria).

```
Pr2SiHPd6
1.0
6.785 -0.026 -0.654
0.021 5.800 -0.006
2.909 2.894 4.102
Pd Pr Si H
6 2 1 1
Direct
0.695 0.232 0.036 Pd
0.306 0.268 0.464 Pd
0.694 0.732 0.536 Pd
0.305 0.768 0.964 Pd
0.695 0.733 0.036 Pd
0.305 0.267 0.964 Pd
0.179 0.726 0.548 Pr
0.821 0.274 0.452 Pr
0.000 0.000 0.000 Si
0.500 0.500 0.000 H
```

Results
DOS at the Fermi energy = 5.14 states/eV/f.u.
magnetic moment = 0.000 μB per cell
symmetry = C2/m
E_tot = -5.663 eV/atom

# AcErPt

An optimized crystal structure of AcErPt (PBE-GGA, Alexandria).

```
AcErPt
1.0
-3.020 -3.845 0.331
1.832 -1.059 4.420
-5.038 4.223 3.100
Er Ac Pt
2 2 2
Direct
0.250 0.250 0.500 Er
0.750 0.750 0.500 Er
0.750 0.250 0.119 Ac
0.250 0.750 0.881 Ac
0.250 0.750 0.294 Pt
0.750 0.250 0.706 Pt
```

Results
DOS at the Fermi energy = 2.84 states/eV/f.u.
magnetic moment = 0.000 μB per cell
symmetry = P4/nmm
E_tot = -5.787 eV/atom
DFT formation energy = -0.88 eV/atom

# La6CoBi2N

An optimized crystal structure of La6CoBi2N (PBE-GGA, Alexandria).

```
La6CoBi2N
1.0
7.520 -0.008 0.003
-0.008 7.520 0.002
-3.754 -3.754 5.201
N Bi La Co
1 2 6 1
Direct
0.022 0.022 0.044 N
0.747 0.247 0.494 Bi
0.247 0.747 0.494 Bi
0.756 0.757 0.989 La
0.747 0.747 0.493 La
0.758 0.232 0.989 La
0.234 0.234 0.991 La
0.255 0.256 0.511 La
0.232 0.758 0.989 La
0.502 0.502 0.003 Co
```

Results
DOS at the Fermi energy = 8.56 states/eV/f.u.
magnetic moment = 0.001 μB per cell
ΔE_f (raw) = -0.666 eV per atom
symmetry = Cm
E_tot = -5.942 eV/atom

# HoZn6Co6

An optimized crystal structure of HoZn6Co6 (PBE-GGA, Alexandria).

```
HoZn6Co6
1.0
4.901 0.000 0.000
2.451 6.024 -0.079
2.451 0.065 6.025
Ho Zn Co
1 6 6
Direct
0.000 0.000 0.000 Ho
0.000 0.662 0.338 Zn
0.349 0.651 0.651 Zn
0.651 0.349 0.349 Zn
0.000 0.338 0.662 Zn
0.700 0.800 0.800 Zn
0.300 0.200 0.200 Zn
0.500 0.765 0.235 Co
0.000 0.000 0.500 Co
0.500 0.500 0.000 Co
0.500 0.235 0.765 Co
0.000 0.500 0.000 Co
0.500 0.000 0.500 Co
```

Results
DOS at the Fermi energy = 9.81 states/eV/f.u.
magnetic moment = 7.386 μB per cell
symmetry = Immm
E_tot = -4.348 eV/atom
DFT formation energy = -0.13 eV/atom

# ZnFe2

An optimized crystal structure of ZnFe2 (PBE-GGA, Alexandria).

```
ZnFe2
1.0
-0.132 3.115 -6.452
2.603 -6.637 0.722
-2.258 -0.929 -0.403
Fe Zn
6 3
Direct
0.687 0.687 0.000 Fe
0.647 0.000 0.500 Fe
0.000 0.313 0.000 Fe
0.000 0.647 0.500 Fe
0.353 0.353 0.500 Fe
0.313 0.000 0.000 Fe
0.667 0.333 0.000 Zn
0.333 0.667 0.000 Zn
0.000 0.000 0.500 Zn
```

Results
DOS at the Fermi energy = 1.56 states/eV/f.u.
magnetic moment = 13.239 μB per cell
symmetry = P-62m
E_tot = -5.985 eV/atom
DFT formation energy = 0.08 eV/atom

# K4Ce3MgS8

An optimized crystal structure of K4Ce3MgS8 (PBE-GGA, Alexandria).

```
K4Ce3MgS8
1.0
8.251 0.000 0.000
0.000 8.743 0.339
-4.125 -4.118 5.837
S K Ce Mg
8 4 3 1
Direct
0.739 0.700 0.969 S
0.230 0.700 0.969 S
0.770 0.300 0.031 S
0.736 0.707 0.472 S
0.264 0.293 0.528 S
0.230 0.700 0.461 S
0.261 0.300 0.031 S
0.770 0.300 0.539 S
0.500 0.000 0.500 K
0.000 0.000 0.000 K
0.500 0.000 0.000 K
0.000 0.000 0.500 K
0.500 0.500 0.000 Ce
0.000 0.500 0.500 Ce
0.500 0.500 0.500 Ce
0.000 0.500 0.000 Mg
```

Results
DOS at the Fermi energy = 12.86 states/eV/f.u.
magnetic moment = 2.012 μB per cell
ΔE_f (raw) = -1.678 eV per atom
symmetry = R-3m
E_tot = -5.229 eV/atom

# AlFe2Co

An optimized crystal structure of AlFe2Co (PBE-GGA, Alexandria).

```
AlFe2Co
1.0
-5.102 3.213 -2.565
-0.617 -4.640 -4.584
-4.384 -1.962 -2.106
Al Fe Co
2 4 2
Direct
0.500 0.500 0.000 Al
0.250 0.750 0.500 Al
0.652 0.125 0.250 Fe
0.375 0.348 0.750 Fe
0.098 0.625 0.250 Fe
0.875 0.902 0.750 Fe
0.000 0.000 0.000 Co
0.750 0.250 0.500 Co
```

Results
DOS at the Fermi energy = 4.30 states/eV/f.u.
magnetic moment = 12.221 μB per cell
symmetry = I-42d
E_tot = -6.669 eV/atom
DFT formation energy = 0.27 eV/atom

# SrScHg2

An optimized crystal structure of SrScHg2 (PBE-GGA, Alexandria).

```
SrScHg2
1.0
-3.662 3.710 -0.787
-1.921 0.823 -4.840
-4.957 -1.388 -1.140
Hg Sc Sr
2 1 1
Direct
0.250 0.250 0.250 Hg
0.000 0.000 0.000 Hg
0.500 0.500 0.500 Sc
0.750 0.750 0.750 Sr
```

Results
DOS at the Fermi energy = 3.49 states/eV/f.u.
magnetic moment = 0.299 μB per cell
symmetry = F-43m
E_tot = -2.181 eV/atom
DFT formation energy = -0.03 eV/atom

# Sr2FeOs

An optimized crystal structure of Sr2FeOs (PBE-GGA, Alexandria).

```
Sr2FeOs
1.0
-0.926 -0.496 -4.994
-2.193 -4.132 2.038
-3.279 1.946 0.415
Os Sr Fe
1 2 1
Direct
0.000 0.500 0.500 Os
0.500 0.500 0.000 Sr
0.000 0.000 0.000 Sr
0.500 0.000 0.500 Fe
```

Results
DOS at the Fermi energy = 6.07 states/eV/f.u.
magnetic moment = 3.170 μB per cell
symmetry = Cmmm
E_tot = -4.746 eV/atom
DFT formation energy = 1.02 eV/atom

# RbReNi

An optimized crystal structure of RbReNi (PBE-GGA, Alexandria).

```
RbReNi
1.0
-2.631 1.861 -2.575
-1.029 -0.552 3.957
4.486 11.570 0.676
Ni Rb Re
2 2 2
Direct
0.539 0.204 0.068 Ni
0.897 0.843 0.985 Ni
0.287 0.442 0.793 Rb
0.104 0.654 0.410 Rb
0.198 0.546 0.093 Re
0.840 0.908 0.178 Re
```

Results
DOS at the Fermi energy = 2.33 states/eV/f.u.
magnetic moment = 0.768 μB per cell
symmetry = P1
E_tot = -5.758 eV/atom
DFT formation energy = 0.64 eV/atom

# Ti4H3Pd2

An optimized crystal structure of Ti4H3Pd2 (PBE-GGA, Alexandria).

```
Ti4H3Pd2
1.0
-1.002 1.639 2.103
-1.167 -2.289 1.229
10.568 -1.891 6.509
Ti Pd H
4 2 3
Direct
0.000 0.000 0.662 Ti
0.500 0.500 0.174 Ti
0.500 0.500 0.826 Ti
0.000 0.000 0.338 Ti
0.500 0.500 0.500 Pd
0.000 0.000 0.000 Pd
0.500 0.500 0.324 H
0.500 0.500 0.000 H
0.500 0.500 0.676 H
```

Results
DOS at the Fermi energy = 7.07 states/eV/f.u.
magnetic moment = 0.000 μB per cell
symmetry = P4/mmm
E_tot = -6.149 eV/atom